Here is an optimized crystal structure of Er6Al2Ga from the Alexandria database. Energies are from PBE-GGA.

```
18
Lattice="-4.7951 4.9259 5.0172 4.7951 -4.9259 5.0172 4.7951 4.9259 -5.0172" Properties=species:S:1:pos:R:3 pbc="T T T"
Er 4.7951 -2.7893 3.2698
Er 2.9183 0.0000 2.5329
Er 6.6720 0.0000 2.5329
Er 3.1115 2.5786 0.0000
Er 6.4787 2.5786 0.0000
Er 0.0000 2.1366 1.7474
Er 4.7951 2.7893 3.2698
Er -1.6836 2.3473 5.0172
Er 1.6836 2.3473 5.0172
Er -1.8769 4.9259 2.4842
Er 1.8769 4.9259 2.4842
Er 0.0000 7.7152 1.7474
Al 1.3422 0.0000 0.0000
Al 8.2480 0.0000 0.0000
Al 0.0000 0.0000 3.7382
Al 0.0000 0.0000 6.2962
Ga 4.7951 0.0000 0.0000
Ga 0.0000 4.9259 0.0000
```

Computed properties:
E above lowest polymorph   0.0 kJ per mole of atoms
Formation enthalpy at 0 K   -2.74 eV per formula unit
VASP energy   -4.514 eV/atom